[1]
## Al2CuH6 (PBE)

Data for a relaxed structure of Al2CuH6.

```
9
Lattice="0.000 3.188 3.188 3.188 0.000 3.188 3.188 3.188 0.000" Properties=species:S:1:pos:R:3 pbc="T T T"
Al 1.594 1.594 1.594
Al 4.782 4.782 4.782
Cu 0.000 0.000 0.000
H 3.188 3.188 1.745
H 3.188 1.745 3.188
H 4.632 3.188 3.188
H 1.745 3.188 3.188
H 3.188 4.632 3.188
H 3.188 3.188 4.632
```

Results
As for the space group: Fm-3m. For the mass density, the calculation gives 3.2 g/cm³. As for the density of states at the Fermi level: 0.159 states/eV/atom. Its raw total energy is -27.5 eV per cell.



[2]
## AlCu2H2 (PBE)

Data for a relaxed structure of AlCu2H2.

```
5
Lattice="-1.697 1.697 4.117 1.697 -1.697 4.117 1.697 1.697 -4.117" Properties=species:S:1:pos:R:3 pbc="T T T"
Al 0.000 0.000 0.000
Cu 0.000 0.000 2.836
Cu 0.000 0.000 5.398
H 1.697 0.000 2.059
H 0.000 1.697 2.059
```

Results
As for the space group: I4/mmm. For the mass density, the calculation gives 5.5 g/cm³. As for the density of states at the Fermi level: 0.342 states/eV/atom. As for the energy above the lowest structure with this stoichiometry: 3 meV/atom.



[3]
## AlCuH2 (PBE)

Data for a relaxed structure of AlCuH2.

```
4
Lattice="0.000 2.600 2.600 2.600 0.000 2.600 2.600 2.600 0.000" Properties=species:S:1:pos:R:3 pbc="T T T"
Al 0.000 0.000 0.000
Cu 2.600 2.600 2.600
H 1.300 1.300 1.300
H 3.900 3.900 3.900
```

Results
As for the space group: Fm-3m. For the mass density, the calculation gives 4.4 g/cm³. As for the density of states at the Fermi level: 0.286 states/eV/atom. As for the energy above the lowest structure with this stoichiometry: 230 meV/atom.



[4]
## AlCu3H (PBE)

Data for a relaxed structure of AlCu3H.

```
5
Lattice="3.757 0.000 0.000 0.000 3.757 0.000 0.000 0.000 3.757" Properties=species:S:1:pos:R:3 pbc="T T T"
Al 0.000 0.000 0.000
Cu 0.000 1.878 1.878
Cu 1.878 0.000 1.878
Cu 1.878 1.878 0.000
H 1.878 1.878 1.878
```

Results
As for the space group: Pm-3m. For the mass density, the calculation gives 6.8 g/cm³. As for the density of states at the Fermi level: 0.219 states/eV/atom. As for the energy above the lowest structure with this stoichiometry: 0 meV/atom.



[5]
## Al2CuH2 (PBE)

Data for a relaxed structure of Al2CuH2.

```
10
Lattice="6.229 0.000 0.000 0.000 6.229 0.000 0.000 0.000 2.612" Properties=species:S:1:pos:R:3 pbc="T T T"
Al 0.972 2.143 0.000
Al 2.143 5.257 0.000
Al 4.086 0.972 0.000
Al 5.257 4.086 0.000
Cu 0.000 0.000 1.306
Cu 3.115 3.115 1.306
H 0.668 3.783 1.306
H 2.446 0.668 1.306
H 3.783 5.561 1.306
H 5.561 2.446 1.306
```

Results
As for the space group: P4/mbm. For the mass density, the calculation gives 3.9 g/cm³. As for the density of states at the Fermi level: 0.285 states/eV/atom. As for the energy above the lowest structure with this stoichiometry: 0 meV/atom.



[6]
## HfAlCu2H (PBE)

Data for a relaxed structure of HfAlCu2H.

```
5
Lattice="4.069 0.000 0.000 0.000 4.069 0.000 0.000 0.000 3.894" Properties=species:S:1:pos:R:3 pbc="T T T"
Hf 0.000 0.000 0.000
Al 2.034 2.034 0.000
Cu 0.000 2.034 1.947
Cu 2.034 0.000 1.947
H 0.000 0.000 1.947
```

Results
As for the space group: P4/mmm. For the mass density, the calculation gives 8.6 g/cm³. As for the density of states at the Fermi level: 0.432 states/eV/atom. Its raw total energy is -25.9 eV per cell.



[7]
## AlCu2HIr (PBE)

Data for a relaxed structure of AlCu2HIr.

```
5
Lattice="3.777 0.000 0.000 0.000 3.777 0.000 0.000 0.000 3.874" Properties=species:S:1:pos:R:3 pbc="T T T"
Al 0.000 0.000 0.000
Cu 0.000 1.889 1.937
Cu 1.889 0.000 1.937
H 1.889 1.889 1.937
Ir 1.889 1.889 0.000
```

Results
As for the space group: P4/mmm. For the mass density, the calculation gives 10.4 g/cm³. As for the density of states at the Fermi level: 0.365 states/eV/atom. Its raw total energy is -25.1 eV per cell.



[8]
## K2AlCuH6 (PBE)

Data for a relaxed structure of K2AlCuH6.

```
10
Lattice="-2.841 3.527 3.020 2.841 -3.527 3.020 2.841 3.527 -3.020" Properties=species:S:1:pos:R:3 pbc="T T T"
K 0.000 1.711 0.000
K 0.000 5.342 0.000
Al 0.000 0.000 2.961
Cu 2.841 0.000 0.461
H 2.841 1.594 -0.081
H 1.518 3.527 -1.421
H 1.323 0.000 1.599
H 1.610 3.527 1.081
H 1.231 0.000 4.100
H 0.000 1.933 2.938
```

Results
As for the space group: Imm2. For the mass density, the calculation gives 2.4 g/cm³. Its raw total energy is -31.3 eV per cell.



[9]
## Li2AlCuH6 (PBE)

Data for a relaxed structure of Li2AlCuH6.

```
10
Lattice="4.711 0.000 0.000 0.921 4.735 0.000 2.014 2.030 3.890" Properties=species:S:1:pos:R:3 pbc="T T T"
Li 0.000 0.000 0.000
Li 2.247 1.952 0.498
Al 2.112 4.564 2.474
Cu 4.449 2.486 1.837
H 3.479 5.155 3.226
H 2.560 4.980 0.911
H 2.879 2.902 2.308
H 6.029 6.128 2.872
H 4.206 1.899 0.278
H 5.297 3.910 1.810
```

Results
As for the space group: P1. For the mass density, the calculation gives 2.1 g/cm³. As for the density of states at the Fermi level: 0.000 states/eV/atom. Its raw total energy is -33.1 eV per cell.



[10]
## LiAlCu2H (PBE)

Data for a relaxed structure of LiAlCu2H.

```
5
Lattice="3.839 0.000 0.000 0.000 3.839 0.000 0.000 0.000 3.617" Properties=species:S:1:pos:R:3 pbc="T T T"
Li 0.000 0.000 0.000
Al 1.920 1.920 0.000
Cu 0.000 1.920 1.809
Cu 1.920 0.000 1.809
H 0.000 0.000 1.809
```

Results
As for the space group: P4/mmm. For the mass density, the calculation gives 5.0 g/cm³. As for the density of states at the Fermi level: 0.093 states/eV/atom. Its raw total energy is -17.6 eV per cell.



[11]
## LiAl2CuH (PBE)

Data for a relaxed structure of LiAl2CuH.

```
5
Lattice="4.144 0.000 0.000 0.000 4.144 0.000 0.000 0.000 3.418" Properties=species:S:1:pos:R:3 pbc="T T T"
Li 0.000 0.000 0.000
Al 0.000 2.072 1.709
Al 2.072 0.000 1.709
Cu 2.072 2.072 0.000
H 0.000 0.000 1.709
```

Results
As for the space group: P4/mmm. For the mass density, the calculation gives 3.5 g/cm³. As for the density of states at the Fermi level: 0.241 states/eV/atom. Its raw total energy is -17.0 eV per cell.



[12]
## AlCuMo2H (PBE)

Data for a relaxed structure of AlCuMo2H.

```
5
Lattice="3.840 0.000 0.000 0.000 3.840 0.000 0.000 0.000 4.199" Properties=species:S:1:pos:R:3 pbc="T T T"
Al 0.000 0.000 0.000
Cu 1.920 1.920 0.000
Mo 0.000 1.920 2.099
Mo 1.920 0.000 2.099
H 1.920 1.920 2.099
```

Results
As for the space group: P4/mmm. For the mass density, the calculation gives 7.6 g/cm³. As for the density of states at the Fermi level: 0.739 states/eV/atom. Its raw total energy is -32.4 eV per cell.



Please write out number 10 again, unchanged.
## LiAlCu2H (PBE)

Data for a relaxed structure of LiAlCu2H.

```
5
Lattice="3.839 0.000 0.000 0.000 3.839 0.000 0.000 0.000 3.617" Properties=species:S:1:pos:R:3 pbc="T T T"
Li 0.000 0.000 0.000
Al 1.920 1.920 0.000
Cu 0.000 1.920 1.809
Cu 1.920 0.000 1.809
H 0.000 0.000 1.809
```

Results
As for the space group: P4/mmm. For the mass density, the calculation gives 5.0 g/cm³. As for the density of states at the Fermi level: 0.093 states/eV/atom. Its raw total energy is -17.6 eV per cell.



Question: Which of these has the lowest mass density?
Answer: Li2AlCuH6



Question: Which value of mass density does entry 10 give?
Answer: 5.0 g/cm³